Entry 1:
RePtW: optimized geometry, GGA-PBE.

- ΔH_f (0 K) (meV/atom) = 472
- total moment (μB/cell) = 0.00
- space-group type = No. 216
- offset from the most stable computed form (eV per atom) = 0.615

abc: 4.267 4.267 4.267
angles: 60.00 60.00 60.00
Atoms (fractional coordinates):
Re 0.000 0.000 0.000
Pt 0.500 0.500 0.500
W 0.750 0.750 0.750

=====

Entry 2:
YRePt2: optimized geometry, GGA-PBE.

- ΔH_f (0 K) (meV/atom) = -114
- total moment (μB/cell) = 0.00
- space-group type = No. 12
- offset from the most stable computed form (eV per atom) = 0.243

abc: 4.931 4.931 5.331
angles: 98.72 98.72 33.91
Atoms (fractional coordinates):
Y 0.000 0.000 0.000
Re 0.500 0.500 0.500
Pt 0.241 0.241 0.718
Pt 0.759 0.759 0.282

=====

Entry 3:
YRe3Pt: optimized geometry, GGA-PBE.

- ΔH_f (0 K) (meV/atom) = 3160
- total moment (μB/cell) = 0.00
- space-group type = No. 221
- offset from the most stable computed form (eV per atom) = 1.460

abc: 4.716 4.716 4.716
angles: 90.00 90.00 90.00
Atoms (fractional coordinates):
Y 0.000 0.000 0.000
Re 0.000 0.000 0.500
Re 0.000 0.500 0.000
Re 0.500 0.000 0.000
Pt 0.500 0.500 0.500

=====

Entry 4:
Y2RePt: optimized geometry, GGA-PBE.

- ΔH_f (0 K) (meV/atom) = -35
- total moment (μB/cell) = 0.00
- space-group type = No. 25
- offset from the most stable computed form (eV per atom) = 0.360

abc: 3.071 4.802 5.851
angles: 90.00 90.00 90.00
Atoms (fractional coordinates):
Y 0.000 0.000 0.000
Y 0.500 0.500 0.365
Re 0.500 0.500 0.859
Pt 0.000 0.000 0.507

=====

Entry 5:
Y2RePt: optimized geometry, GGA-PBE.

- ΔH_f (0 K) (meV/atom) = -345
- total moment (μB/cell) = 0.00
- space-group type = No. 123
- offset from the most stable computed form (eV per atom) = 0.050

abc: 4.896 4.896 3.477
angles: 90.00 90.00 90.00
Atoms (fractional coordinates):
Y 0.000 0.500 0.000
Y 0.500 0.000 0.000
Re 0.000 0.000 0.500
Pt 0.500 0.500 0.500

=====

Entry 6:
Y2RePt: optimized geometry, GGA-PBE.

- ΔH_f (0 K) (meV/atom) = -214
- total moment (μB/cell) = 0.00
- space-group type = No. 8
- offset from the most stable computed form (eV per atom) = 0.181

abc: 5.816 5.816 5.162
angles: 105.23 105.23 30.26
Atoms (fractional coordinates):
Y 0.000 0.000 0.000
Y 0.195 0.195 0.631
Re 0.751 0.751 0.157
Pt 0.437 0.437 0.467

=====

Entry 7:
YRePt2: optimized geometry, GGA-PBE.

- ΔH_f (0 K) (meV/atom) = -288
- total moment (μB/cell) = 1.02
- space-group type = No. 123
- offset from the most stable computed form (eV per atom) = 0.069

abc: 4.144 4.144 4.078
angles: 90.00 90.00 90.00
Atoms (fractional coordinates):
Y 0.000 0.000 0.000
Re 0.500 0.500 0.000
Pt 0.000 0.500 0.500
Pt 0.500 0.000 0.500

=====

Entry 8:
Y2RePt: optimized geometry, GGA-PBE.

- ΔH_f (0 K) (meV/atom) = -324
- total moment (μB/cell) = 0.00
- space-group type = No. 225
- offset from the most stable computed form (eV per atom) = 0.071

abc: 4.899 4.899 4.899
angles: 60.00 60.00 60.00
Atoms (fractional coordinates):
Y 0.250 0.250 0.250
Y 0.750 0.750 0.750
Re 0.000 0.000 0.000
Pt 0.500 0.500 0.500

=====

Entry 9:
Y2RePt: optimized geometry, GGA-PBE.

- ΔH_f (0 K) (meV/atom) = 0
- total moment (μB/cell) = 0.00
- space-group type = No. 99
- offset from the most stable computed form (eV per atom) = 0.395

abc: 3.331 3.331 8.356
angles: 90.00 90.00 90.00
Atoms (fractional coordinates):
Y 0.000 0.000 0.000
Y 0.500 0.500 0.381
Re 0.500 0.500 0.766
Pt 0.000 0.000 0.615

=====

Entry 10:
Y4RePt: optimized geometry, GGA-PBE.

- ΔH_f (0 K) (meV/atom) = 823
- total moment (μB/cell) = 0.00
- space-group type = No. 216

abc: 5.849 5.849 5.849
angles: 60.00 60.00 60.00
Atoms (fractional coordinates):
Y 0.125 0.125 0.125
Y 0.125 0.125 0.625
Y 0.125 0.625 0.125
Y 0.625 0.125 0.125
Re 0.500 0.500 0.500
Pt 0.750 0.750 0.750

=====

Entry 11:
Y2RePt: optimized geometry, GGA-PBE.

- ΔH_f (0 K) (meV/atom) = -123
- total moment (μB/cell) = 0.00
- space-group type = No. 119
- offset from the most stable computed form (eV per atom) = 0.272

abc: 5.711 5.711 5.711
angles: 137.63 137.63 61.47
Atoms (fractional coordinates):
Y 0.000 0.000 0.000
Y 0.750 0.250 0.500
Re 0.500 0.500 0.000
Pt 0.250 0.750 0.500

=====

Entry 12:
YRePt2: optimized geometry, GGA-PBE.

- ΔH_f (0 K) (meV/atom) = -336
- total moment (μB/cell) = 0.00
- space-group type = No. 65
- offset from the most stable computed form (eV per atom) = 0.022

abc: 5.026 5.026 2.889
angles: 90.00 90.00 109.19
Atoms (fractional coordinates):
Y 0.000 0.000 0.000
Re 0.500 0.500 0.000
Pt 0.000 0.500 0.500
Pt 0.500 0.000 0.500

=====

Entry 13:
YRePt2: optimized geometry, GGA-PBE.

- ΔH_f (0 K) (meV/atom) = -297
- total moment (μB/cell) = 0.00
- space-group type = No. 8
- offset from the most stable computed form (eV per atom) = 0.061

abc: 4.986 4.986 5.195
angles: 99.93 99.93 34.24
Atoms (fractional coordinates):
Y 0.000 0.000 0.000
Re 0.755 0.755 0.332
Pt 0.245 0.245 0.763
Pt 0.493 0.493 0.483

=====

Entry 14:
YRe4Pt: optimized geometry, GGA-PBE.

- ΔH_f (0 K) (meV/atom) = 113
- total moment (μB/cell) = 0.00
- space-group type = No. 216

abc: 5.286 5.286 5.286
angles: 60.00 60.00 60.00
Atoms (fractional coordinates):
Y 0.000 0.000 0.000
Re 0.376 0.376 0.376
Re 0.376 0.376 0.871
Re 0.376 0.871 0.376
Re 0.871 0.376 0.376
Pt 0.750 0.750 0.750

=====

Entry 15:
YRe3Pt: optimized geometry, GGA-PBE.

- ΔH_f (0 K) (meV/atom) = 1700
- total moment (μB/cell) = 0.00
- space-group type = No. 221
- offset from the most stable computed form (eV per atom) = 0.000

abc: 4.799 4.799 4.799
angles: 90.00 90.00 90.00
Atoms (fractional coordinates):
Y 0.000 0.000 0.000
Re 0.000 0.500 0.500
Re 0.500 0.000 0.500
Re 0.500 0.500 0.000
Pt 0.500 0.500 0.500

=====

Entry 16:
Y2RePt: optimized geometry, GGA-PBE.

- ΔH_f (0 K) (meV/atom) = 66
- total moment (μB/cell) = 0.00
- space-group type = No. 216
- offset from the most stable computed form (eV per atom) = 0.461

abc: 4.825 4.825 4.825
angles: 60.00 60.00 60.00
Atoms (fractional coordinates):
Y 0.000 0.000 0.000
Y 0.250 0.250 0.250
Re 0.750 0.750 0.750
Pt 0.500 0.500 0.500

=====

Entry 17:
YRePt2: optimized geometry, GGA-PBE.

- ΔH_f (0 K) (meV/atom) = -325
- total moment (μB/cell) = 0.00
- space-group type = No. 10
- offset from the most stable computed form (eV per atom) = 0.033

abc: 2.875 4.079 5.983
angles: 90.00 90.07 90.00
Atoms (fractional coordinates):
Y 0.000 0.000 0.000
Re 0.000 0.000 0.500
Pt 0.500 0.500 0.277
Pt 0.500 0.500 0.723

=====

Entry 18:
YRePt2: optimized geometry, GGA-PBE.

- ΔH_f (0 K) (meV/atom) = 12
- total moment (μB/cell) = 2.01
- space-group type = No. 216
- offset from the most stable computed form (eV per atom) = 0.369

abc: 4.661 4.661 4.661
angles: 60.00 60.00 60.00
Atoms (fractional coordinates):
Y 0.000 0.000 0.000
Re 0.250 0.250 0.250
Pt 0.500 0.500 0.500
Pt 0.750 0.750 0.750

=====

Entry 19:
YRePt2: optimized geometry, GGA-PBE.

- ΔH_f (0 K) (meV/atom) = 123
- total moment (μB/cell) = 0.00
- space-group type = No. 122
- offset from the most stable computed form (eV per atom) = 0.481

abc: 8.756 8.756 8.756
angles: 147.95 147.95 45.95
Atoms (fractional coordinates):
Y 0.000 0.000 0.000
Y 0.750 0.250 0.500
Re 0.250 0.750 0.500
Re 0.500 0.500 0.000
Pt 0.220 0.625 0.095
Pt 0.375 0.470 0.595
Pt 0.530 0.125 0.905
Pt 0.875 0.780 0.405

=====

Entry 20:
YRePt2: optimized geometry, GGA-PBE.

- ΔH_f (0 K) (meV/atom) = -223
- total moment (μB/cell) = 0.66
- space-group type = No. 139
- offset from the most stable computed form (eV per atom) = 0.135

abc: 5.029 5.029 5.029
angles: 131.25 131.25 71.42
Atoms (fractional coordinates):
Y 0.000 0.000 0.000
Re 0.500 0.500 0.000
Pt 0.250 0.750 0.500
Pt 0.750 0.250 0.500